CaZrOs2 | PBEsol | relaxed

Unit cell a=3.2320 b=4.8239 c=9.0060 alpha=90.00 beta=90.00 gamma=90.00
With the nearest neighbours (Å) after each atom.
Space group Cmmm (No. 65)
Unique sites:
Ca 0.0000 0.0000 0.0000 [2 per cell]  4 Os 2.88, 4 Ca 2.90
Zr 0.0000 0.0000 0.5000 [2 per cell]  4 Os 2.67, 4 Zr 2.90
Os 0.0000 0.5000 0.2646 [4 per cell]  2 Zr 2.67, 2 Ca 2.88, 4 Os 2.90

Properties
Crystal system: orthorhombic
Calculated formation energy: 0.2989 eV/atom
Total magnetization: 0.00 μB per formula unit



TlIr2Os | PBEsol | relaxed

Unit cell a=3.9975 b=3.9975 c=7.7780 alpha=90.00 beta=90.00 gamma=90.00
With the nearest neighbours (Å) after each atom.
Space group I-4m2 (No. 119)
Unique sites:
Tl 0.0000 0.0000 0.0000 [2 per cell]  4 Os 2.79, 8 Ir 2.79-2.83
Ir 0.0000 0.0000 0.5000 [2 per cell]  4 Os 2.79, 4 Ir 2.79, 4 Tl 2.83
Ir 0.0000 0.5000 0.2500 [2 per cell]  4 Tl 2.79, 4 Ir 2.79, 4 Os 2.83
Os 0.0000 0.5000 0.7500 [2 per cell]  4 Tl 2.79, 8 Ir 2.79-2.83

Properties
Crystal system: tetragonal
Calculated formation energy: 0.6264 eV/atom
Total magnetization: 0.00 μB per formula unit



MgGaC3 | PBEsol | relaxed

Unit cell a=3.9652 b=3.9652 c=3.9652 alpha=90.00 beta=90.00 gamma=90.00
With the nearest neighbours (Å) after each atom.
Space group Pm-3m (No. 221)
Unique sites:
Mg 0.0000 0.0000 0.0000 [1 per cell]  12 C 2.80
Ga 0.5000 0.5000 0.5000 [1 per cell]  6 C 1.98
C 0.0000 0.5000 0.5000 [3 per cell]  2 Ga 1.98

Properties
Crystal system: cubic
Calculated formation energy: 2.2964 eV/atom
Total magnetization: 0.00 μB per formula unit



Hf3NbHg | PBEsol | relaxed

Unit cell a=4.9843 b=4.9843 c=4.9843 alpha=90.00 beta=90.00 gamma=90.00
With the nearest neighbours (Å) after each atom.
Space group Pm-3m (No. 221)
Unique sites:
Hf 0.0000 0.0000 0.5000 [3 per cell]  2 Nb 2.49
Nb 0.0000 0.0000 0.0000 [1 per cell]  6 Hf 2.49
Hg 0.5000 0.5000 0.5000 [1 per cell]  12 Hf 3.52

Properties
Crystal system: cubic
Calculated formation energy: 1.0139 eV/atom
Total magnetization: 0.00 μB per formula unit



AlCdAs2 | PBEsol | relaxed

Unit cell a=3.8410 b=3.8410 c=5.3706 alpha=90.00 beta=90.00 gamma=90.00
With the nearest neighbours (Å) after each atom.
Space group P4/mmm (No. 123)
Unique sites:
Al 0.0000 0.0000 0.0000 [1 per cell]  6 As 2.69-2.72
Cd 0.5000 0.5000 0.5000 [1 per cell]  6 As 2.69-2.72
As 0.0000 0.0000 0.5000 [1 per cell]  2 Al 2.69, 4 Cd 2.72
As 0.5000 0.5000 0.0000 [1 per cell]  2 Cd 2.69, 4 Al 2.72

Properties
Crystal system: tetragonal
Calculated formation energy: -0.0332 eV/atom
Total magnetization: 0.00 μB per formula unit



CsMn2S2 | PBEsol | relaxed

Unit cell a=3.6484 b=3.6484 c=14.0014 alpha=90.00 beta=90.00 gamma=90.00
With the nearest neighbours (Å) after each atom.
Space group I4/mmm (No. 139)
Unique sites:
Cs 0.0000 0.0000 0.0000 [2 per cell]  8 S 3.44, 4 Cs 3.65
Mn 0.0000 0.5000 0.2500 [4 per cell]  4 S 2.20
S 0.0000 0.0000 0.3374 [4 per cell]  4 Mn 2.20

Properties
Formation energy (no corrections): -0.7346 eV/atom
Crystal system: tetragonal
Total magnetization: 0.75 μB per formula unit



KYCd2 | PBEsol | relaxed

Unit cell a=3.6222 b=3.6222 c=31.7030 alpha=90.00 beta=90.00 gamma=120.00
With the nearest neighbours (Å) after each atom.
Space group R-3m (No. 166, hexagonal axes)
Unique sites:
K 0.0000 0.0000 0.0000 [3 per cell]  6 Cd 3.59, 6 K 3.62
Y 0.0000 0.0000 0.5000 [3 per cell]  6 Cd 3.16
Cd 0.0000 0.0000 0.2413 [6 per cell]  3 Y 3.16

Properties
Crystal system: trigonal
Calculated formation energy: 0.0561 eV/atom
Total magnetization: 0.00 μB per formula unit



TmMn2Ge2 | PBEsol | relaxed

Unit cell a=3.8496 b=3.8496 c=10.5933 alpha=90.00 beta=90.00 gamma=90.00
With the nearest neighbours (Å) after each atom.
Space group I4/mmm (No. 139)
Unique sites:
Tm 0.0000 0.0000 0.0000 [2 per cell]  8 Ge 3.00, 8 Mn 3.27
Mn 0.0000 0.5000 0.2500 [4 per cell]  4 Ge 2.38
Ge 0.0000 0.0000 0.3819 [4 per cell]  4 Mn 2.38, 1 Ge 2.50

Properties
Crystal system: tetragonal
Calculated formation energy: -0.4742 eV/atom
Total magnetization: 3.78 μB per formula unit



NbMoS4 | PBEsol | relaxed

Unit cell a=5.6080 b=3.2331 c=6.2312 alpha=90.00 beta=107.71 gamma=90.00
With the nearest neighbours (Å) after each atom.
Space group Pm (No. 6)
Unique sites:
Nb 0.0000 0.0000 0.0000 [1 per cell]  6 S 2.44-2.46
Mo 0.4931 0.5000 0.9994 [1 per cell]  6 S 2.40-2.41
S 0.0794 0.5000 0.7351 [1 per cell]  1 Mo 2.40, 2 Nb 2.45
S 0.2579 0.5000 0.2629 [1 per cell]  1 Mo 2.40, 2 Nb 2.44
S 0.5695 0.0000 0.7416 [1 per cell]  2 Mo 2.41, 1 Nb 2.46
S 0.7434 0.0000 0.2568 [1 per cell]  2 Mo 2.41, 1 Nb 2.46

Properties
Formation energy (no corrections): -1.0126 eV/atom
Crystal system: monoclinic
Total magnetization: 0.00 μB per formula unit



Li2ScGa2 | PBEsol | relaxed

Unit cell a=3.6911 b=3.6911 c=12.5130 alpha=90.00 beta=90.00 gamma=90.00
With the nearest neighbours (Å) after each atom.
Space group I4/mmm (No. 139)
Unique sites:
Li 0.0000 0.5000 0.2500 [4 per cell]  4 Li 2.61, 4 Ga 2.62
Sc 0.0000 0.0000 0.0000 [2 per cell]  8 Ga 2.90
Ga 0.0000 0.0000 0.3990 [4 per cell]  1 Ga 2.53, 4 Li 2.62

Properties
Crystal system: tetragonal
Calculated formation energy: -0.3452 eV/atom
Total magnetization: 0.00 μB per formula unit



LaOs2 | PBEsol | relaxed

Unit cell a=7.6557 b=7.6557 c=7.6557 alpha=90.00 beta=90.00 gamma=90.00
With the nearest neighbours (Å) after each atom.
Space group Fd-3m (No. 227, origin choice 2)
Unique sites:
La 0.1250 0.1250 0.1250 [8 per cell]  12 Os 3.17, 4 La 3.32
Os 0.0000 0.0000 0.5000 [16 per cell]  6 Os 2.71

Properties
Crystal system: cubic
Calculated formation energy: -0.0102 eV/atom
Total magnetization: 0.00 μB per formula unit



Al2TlOs | PBEsol | relaxed

Unit cell a=8.7354 b=3.1676 c=4.9759 alpha=90.00 beta=100.83 gamma=90.00
With the nearest neighbours (Å) after each atom.
Space group C2/m (No. 12)
Unique sites:
Al 0.2320 0.0000 0.1997 [4 per cell]  2 Al 2.61, 3 Os 2.62-2.71, 1 Tl 2.74
Tl 0.0000 0.0000 0.5000 [2 per cell]  6 Al 2.74-2.98, 4 Os 2.95
Os 0.0000 0.5000 0.0000 [2 per cell]  6 Al 2.62-2.71

Properties
Crystal system: monoclinic
Calculated formation energy: 0.2458 eV/atom
Total magnetization: 0.00 μB per formula unit



Y2ScCuAs | PBEsol | relaxed

Unit cell a=5.4126 b=5.4126 c=4.4325 alpha=90.00 beta=90.00 gamma=90.00
With the nearest neighbours (Å) after each atom.
Space group P4/mmm (No. 123)
Unique sites:
Y 0.0000 0.5000 0.0000 [2 per cell]  2 As 2.71
Sc 0.0000 0.0000 0.5000 [1 per cell]  8 Y 3.50, 4 Cu 3.83
Cu 0.5000 0.5000 0.5000 [1 per cell]  2 As 2.22
As 0.5000 0.5000 0.0000 [1 per cell]  2 Cu 2.22

Properties
Crystal system: tetragonal
Calculated formation energy: -0.0492 eV/atom
Total magnetization: 1.05 μB per formula unit



LiSeCl2 | PBEsol | relaxed

Unit cell a=6.9247 b=6.9247 c=6.9247 alpha=90.00 beta=90.00 gamma=90.00
With the nearest neighbours (Å) after each atom.
Space group Fm-3m (No. 225)
Unique sites:
Li 0.0000 0.0000 0.0000 [4 per cell]  8 Cl 3.00
Se 0.0000 0.0000 0.5000 [4 per cell]  8 Cl 3.00
Cl 0.2500 0.2500 0.2500 [8 per cell]  4 Se 3.00, 4 Li 3.00

Properties
Formation energy (no corrections): -0.2467 eV/atom
Crystal system: cubic
Total magnetization: 2.43 μB per formula unit



Li17Ag12 | PBEsol | relaxed

Unit cell a=9.9074 b=9.9074 c=9.9074 alpha=90.00 beta=90.00 gamma=90.00
With the nearest neighbours (Å) after each atom.
Space group I-43m (No. 217)
Unique sites:
Li 0.0000 0.0000 0.0000 [2 per cell]  4 Li 2.97, 12 Ag 3.19
Li 0.0556 0.3648 0.3648 [24 per cell]  5 Ag 2.67-2.78, 3 Li 2.74-2.90
Li 0.1733 0.1733 0.8267 [8 per cell]  4 Li 2.74-2.97, 6 Ag 3.02
Ag 0.0966 0.0966 0.2915 [24 per cell]  5 Li 2.67-2.78, 3 Ag 2.71-2.73

Properties
Crystal system: cubic
Calculated formation energy: -0.1292 eV/atom
Total magnetization: 0.00 μB per formula unit



Cr2TeRu | PBEsol | relaxed

Unit cell a=8.8730 b=3.0628 c=4.4887 alpha=90.00 beta=106.70 gamma=90.00
With the nearest neighbours (Å) after each atom.
Space group Cm (No. 8)
Unique sites:
Cr 0.0000 0.0000 0.0000 [2 per cell]  3 Cr 2.42-2.68, 2 Ru 2.65
Cr 0.2210 0.5000 0.1181 [2 per cell]  3 Cr 2.42-2.68, 2 Te 2.64
Te 0.2422 0.0000 0.6534 [2 per cell]  3 Ru 2.58-2.61, 6 Cr 2.64-2.82
Ru 0.4949 0.0000 0.4790 [2 per cell]  3 Te 2.58-2.61, 4 Cr 2.65-2.78

Properties
Formation energy (no corrections): 0.3419 eV/atom
Crystal system: monoclinic
Total magnetization: 0.65 μB per formula unit



RbTcPtI2 | PBEsol | relaxed

Unit cell a=5.4014 b=5.4014 c=5.9554 alpha=90.00 beta=90.00 gamma=90.00
With the nearest neighbours (Å) after each atom.
Space group P4/mmm (No. 123)
Unique sites:
Rb 0.0000 0.0000 0.0000 [1 per cell]  2 Pt 2.98
Tc 0.5000 0.5000 0.0000 [1 per cell]  4 Rb 3.82, 8 I 4.02
Pt 0.0000 0.0000 0.5000 [1 per cell]  4 I 2.70, 2 Rb 2.98
I 0.0000 0.5000 0.5000 [2 per cell]  2 Pt 2.70

Properties
Formation energy (no corrections): 1.0433 eV/atom
Crystal system: tetragonal
Total magnetization: 5.30 μB per formula unit



ZnTe2Os | PBEsol | relaxed

Unit cell a=3.1635 b=5.3013 c=10.1028 alpha=90.00 beta=90.00 gamma=90.00
With the nearest neighbours (Å) after each atom.
Space group Cmmm (No. 65)
Unique sites:
Zn 0.0000 0.0000 0.0000 [2 per cell]  6 Zn 3.09-3.16, 4 Te 3.28
Te 0.0000 0.5000 0.2842 [4 per cell]  2 Os 2.69
Os 0.0000 0.0000 0.5000 [2 per cell]  4 Te 2.69

Properties
Formation energy (no corrections): 0.6694 eV/atom
Crystal system: orthorhombic
Total magnetization: 0.00 μB per formula unit



RbIr3C | PBEsol | relaxed

Unit cell a=4.2269 b=4.2269 c=4.2269 alpha=90.00 beta=90.00 gamma=90.00
With the nearest neighbours (Å) after each atom.
Space group Pm-3m (No. 221)
Unique sites:
Rb 0.0000 0.0000 0.0000 [1 per cell]  12 Ir 2.99
Ir 0.0000 0.5000 0.5000 [3 per cell]  2 C 2.11
C 0.5000 0.5000 0.5000 [1 per cell]  6 Ir 2.11

Properties
Crystal system: cubic
Calculated formation energy: 1.0633 eV/atom
Total magnetization: 0.00 μB per formula unit



Ca2Pd2Pt | PBEsol | relaxed

Unit cell a=6.9191 b=6.9191 c=4.1433 alpha=90.00 beta=90.00 gamma=90.00
With the nearest neighbours (Å) after each atom.
Space group P4/mbm (No. 127)
Unique sites:
Ca 0.1775 0.3225 0.0000 [4 per cell]  6 Pd 2.77-3.00
Pd 0.1339 0.6339 0.5000 [4 per cell]  1 Pd 2.62, 2 Pt 2.70, 2 Ca 2.77
Pt 0.0000 0.0000 0.5000 [2 per cell]  4 Pd 2.70

Properties
Crystal system: tetragonal
Calculated formation energy: -0.6325 eV/atom
Total magnetization: 0.00 μB per formula unit



LiP2Br | PBEsol | relaxed

Unit cell a=4.7287 b=4.7525 c=15.0011 alpha=90.00 beta=90.00 gamma=90.00
With the nearest neighbours (Å) after each atom.
Space group Fmmm (No. 69)
Unique sites:
Li 0.0000 0.0000 0.0000 [4 per cell]  4 Br 2.36-2.38
P 0.0000 0.2500 0.2500 [8 per cell]  4 P 2.36-2.38
Br 0.0000 0.0000 0.5000 [4 per cell]  4 Li 2.36-2.38

Properties
Formation energy (no corrections): -0.3411 eV/atom
Crystal system: orthorhombic
Total magnetization: 0.00 μB per formula unit



SmTlAu2 | PBEsol | relaxed

Unit cell a=7.0205 b=7.0205 c=7.0205 alpha=90.00 beta=90.00 gamma=90.00
With the nearest neighbours (Å) after each atom.
Space group Fm-3m (No. 225)
Unique sites:
Sm 0.0000 0.0000 0.0000 [4 per cell]  8 Au 3.04
Tl 0.0000 0.0000 0.5000 [4 per cell]  8 Au 3.04
Au 0.2500 0.2500 0.2500 [8 per cell]  4 Tl 3.04, 4 Sm 3.04

Properties
Crystal system: cubic
Calculated formation energy: -0.5800 eV/atom
Total magnetization: 0.00 μB per formula unit



Ca2OsW | PBEsol | relaxed

Unit cell a=3.2552 b=4.4576 c=10.3970 alpha=90.00 beta=90.00 gamma=90.00
With the nearest neighbours (Å) after each atom.
Space group Immm (No. 71)
Unique sites:
Ca 0.0000 0.0000 0.2226 [4 per cell]  4 Ca 2.82, 2 Os 2.83
Os 0.0000 0.5000 0.5000 [2 per cell]  4 W 2.76, 4 Ca 2.83
W 0.0000 0.5000 0.0000 [2 per cell]  4 Os 2.76

Properties
Crystal system: orthorhombic
Calculated formation energy: 0.7521 eV/atom
Total magnetization: 0.00 μB per formula unit



Zr2MnIr | PBEsol | relaxed

Unit cell a=4.4966 b=4.4966 c=3.2574 alpha=90.00 beta=90.00 gamma=90.00
With the nearest neighbours (Å) after each atom.
Space group P4/mmm (No. 123)
Unique sites:
Zr 0.0000 0.5000 0.0000 [2 per cell]  4 Mn 2.78, 4 Ir 2.78
Mn 0.0000 0.0000 0.5000 [1 per cell]  8 Zr 2.78
Ir 0.5000 0.5000 0.5000 [1 per cell]  8 Zr 2.78

Properties
Crystal system: tetragonal
Calculated formation energy: -0.4833 eV/atom
Total magnetization: 0.00 μB per formula unit



Be7Co | PBEsol | relaxed

Unit cell a=6.3759 b=6.3759 c=6.3759 alpha=90.00 beta=90.00 gamma=90.00
With the nearest neighbours (Å) after each atom.
Space group Fm-3m (No. 225)
Unique sites:
Be 0.0000 0.0000 0.0000 [4 per cell]  12 Be 2.25
Be 0.0000 0.2500 0.2500 [24 per cell]  10 Be 2.25, 2 Co 2.25
Co 0.0000 0.0000 0.5000 [4 per cell]  12 Be 2.25

Properties
Crystal system: cubic
Calculated formation energy: -0.0712 eV/atom
Total magnetization: 0.15 μB per formula unit



Li2ZnIn | PBEsol | relaxed

Unit cell a=2.9698 b=4.5362 c=5.0293 alpha=90.00 beta=90.00 gamma=90.00
With the nearest neighbours (Å) after each atom.
Space group Pmm2 (No. 25)
Unique sites:
Li 0.0000 0.0000 0.0000 [1 per cell]  4 Li 2.80-2.97, 4 In 2.86, 4 Zn 2.89-2.95
Li 0.0000 0.5000 0.3274 [1 per cell]  4 Li 2.80-2.97, 4 Zn 2.84, 4 In 2.88-2.96
Zn 0.5000 0.0000 0.4927 [1 per cell]  2 In 2.80, 8 Li 2.84-2.95, 2 Zn 2.97
In 0.5000 0.5000 0.8180 [1 per cell]  2 Zn 2.80, 8 Li 2.86-2.96, 2 In 2.97

Properties
Crystal system: orthorhombic
Calculated formation energy: -0.2158 eV/atom
Total magnetization: 0.00 μB per formula unit



Li2YAu2 | PBEsol | relaxed

Unit cell a=7.4324 b=7.4324 c=3.1173 alpha=90.00 beta=90.00 gamma=90.00
With the nearest neighbours (Å) after each atom.
Space group P4/mbm (No. 127)
Unique sites:
Li 0.1118 0.3882 0.0000 [4 per cell]  1 Li 2.35
Y 0.0000 0.0000 0.0000 [2 per cell]  4 Li 3.00, 2 Y 3.12, 8 Au 3.13
Au 0.1859 0.6859 0.5000 [4 per cell]  6 Li 2.64-2.76

Properties
Crystal system: tetragonal
Calculated formation energy: -0.5220 eV/atom
Total magnetization: 0.00 μB per formula unit